VASP calculation (GGA-PBE) on an optimized crystal structure of Cu2PtRhW.

Properties
The calculation puts the formation energy at 1.72 eV/atom. Its density is 10.10 g cm⁻³. Its density of states at the Fermi level is 1.151 states/eV per atom.

abc: 4.570 4.570 4.794
angles: 90.00 90.00 90.00
Space group P4/mmm (No. 123)
Asymmetric unit:
Cu 0.000 0.500 0.000 [2 per cell]
Pt 0.000 0.000 0.000 [1 per cell]
Rh 0.000 0.000 0.500 [1 per cell]
W 0.500 0.500 0.500 [1 per cell]